# 1
# CaYGe2O

CaYGe2O after structural relaxation (PBE, Alexandria).

Cell: 5.1029 5.1029 6.0520 Å, 90.00 90.00 90.00°
Closest atoms and distances in Å follow each position.
Element x y z (fractional)
Ca 0.0000 0.0000 0.0000  4 Ge 2.55
Y 0.0000 0.0000 0.5000  2 Ca 3.03
Ge 0.0000 0.5000 0.0000  2 Ca 2.55
Ge 0.5000 0.0000 0.0000  2 Ca 2.55
O 0.5000 0.5000 0.5000  4 Y 3.61, 8 Ge 3.96

The calculation puts the formation energy (no corrections) at 1.230 eV/atom. The total magnetization is 0.0 μB per formula unit.



# 2
# CaYb2Ge4O12

CaYb2Ge4O12 after structural relaxation (PBE, Alexandria).

Cell: 10.1299 10.1299 5.1286 Å, 90.00 90.00 90.26°
Closest atoms and distances in Å follow each position.
Element x y z (fractional)
Ca 0.0000 0.5000 0.0000  4 O 2.30
Ca 0.5000 0.0000 0.0000  4 O 2.30
Yb 0.0000 0.0000 0.0000  6 O 2.23-2.48
Yb 0.2500 0.2500 0.0000  8 O 2.37-2.43
Yb 0.5000 0.5000 0.0000  6 O 2.23-2.48
Yb 0.7500 0.7500 0.0000  8 O 2.37-2.43
Ge 0.0220 0.7497 0.5026  4 O 1.73-1.84
Ge 0.2497 0.5220 0.5026  4 O 1.73-1.84
Ge 0.2503 0.9780 0.5026  4 O 1.73-1.84
Ge 0.4780 0.7503 0.5026  4 O 1.73-1.84
Ge 0.5220 0.2497 0.4974  4 O 1.73-1.84
Ge 0.7497 0.0220 0.4974  4 O 1.73-1.84
Ge 0.7503 0.4780 0.4974  4 O 1.73-1.84
Ge 0.9780 0.2503 0.4974  4 O 1.73-1.84
O 0.0579 0.1734 0.7587  1 Ge 1.75
O 0.0674 0.3240 0.2481  1 Ge 1.73
O 0.1244 0.8756 0.6650  2 Ge 1.84
O 0.1301 0.6301 0.3485  2 Ge 1.82
O 0.1734 0.0579 0.2413  1 Ge 1.75
O 0.1760 0.4326 0.7519  1 Ge 1.73
O 0.3240 0.0674 0.7519  1 Ge 1.73
O 0.3266 0.4421 0.2413  1 Ge 1.75
O 0.3699 0.8699 0.3485  2 Ge 1.82
O 0.3756 0.6244 0.6650  2 Ge 1.84
O 0.4326 0.1760 0.2481  1 Ge 1.73
O 0.4421 0.3266 0.7587  1 Ge 1.75
O 0.5579 0.6734 0.2413  1 Ge 1.75
O 0.5674 0.8240 0.7519  1 Ge 1.73
O 0.6244 0.3756 0.3350  2 Ge 1.84
O 0.6301 0.1301 0.6515  2 Ge 1.82
O 0.6734 0.5579 0.7587  1 Ge 1.75
O 0.6760 0.9326 0.2481  1 Ge 1.73
O 0.8240 0.5674 0.2481  1 Ge 1.73
O 0.8266 0.9421 0.7587  1 Ge 1.75
O 0.8699 0.3699 0.6515  2 Ge 1.82
O 0.8756 0.1244 0.3350  2 Ge 1.84
O 0.9326 0.6760 0.7519  1 Ge 1.73
O 0.9421 0.8266 0.2413  1 Ge 1.75

The calculation puts the formation energy (no corrections) at -2.155 eV/atom. The total magnetization is 2.1 μB per formula unit.



# 3
# CaZnGeO4

CaZnGeO4 after structural relaxation (PBE, Alexandria).

Cell: 5.6105 5.6105 6.4461 Å, 90.00 90.00 113.59°
Closest atoms and distances in Å follow each position.
Element x y z (fractional)
Ca 0.0000 0.0000 0.0000  6 O 2.36
Ca 0.0000 0.0000 0.5000  6 O 2.36
Zn 0.3445 0.6555 0.7500  4 O 1.97-2.10
Zn 0.6555 0.3445 0.2500  4 O 1.97-2.10
Ge 0.3583 0.6417 0.2500  4 O 1.77-1.80
Ge 0.6417 0.3583 0.7500  4 O 1.77-1.80
O 0.2508 0.7492 0.0237  1 Ge 1.77, 1 Zn 1.97
O 0.2508 0.7492 0.4763  1 Ge 1.77, 1 Zn 1.97
O 0.2634 0.2941 0.2500  1 Ge 1.80
O 0.2941 0.2634 0.7500  1 Ge 1.80
O 0.7059 0.7366 0.2500  1 Ge 1.80
O 0.7366 0.7059 0.7500  1 Ge 1.80
O 0.7492 0.2508 0.5237  1 Ge 1.77, 1 Zn 1.97
O 0.7492 0.2508 0.9763  1 Ge 1.77, 1 Zn 1.97

The calculation puts the formation energy (no corrections) at -2.043 eV/atom. The total magnetization is 0.0 μB per formula unit.



# 4
# Ca2ZnGeO5

Ca2ZnGeO5 after structural relaxation (PBE, Alexandria).

Cell: 6.7925 6.7925 10.6596 Å, 90.00 90.00 153.32°
Closest atoms and distances in Å follow each position.
Element x y z (fractional)
Ca 0.0808 0.9192 0.5000  6 O 2.32-2.42
Ca 0.1382 0.8618 0.1468  5 O 2.34-2.55
Ca 0.8618 0.1382 0.6468  5 O 2.34-2.55
Ca 0.9192 0.0808 0.0000  6 O 2.32-2.42
Zn 0.4464 0.5536 0.2821  4 O 1.90-2.08
Zn 0.5536 0.4464 0.7821  4 O 1.90-2.08
Ge 0.2270 0.7730 0.8752  6 O 1.86-2.08
Ge 0.7730 0.2270 0.3752  6 O 1.86-2.08
O 0.0812 0.9188 0.8936  1 Ge 1.94, 2 Zn 2.00
O 0.2636 0.7364 0.5024  2 Ge 2.08
O 0.2902 0.7098 0.2598  2 Ge 2.01, 1 Zn 2.08
O 0.3659 0.6341 0.8458  1 Ge 1.86
O 0.4943 0.5057 0.6200  1 Zn 1.90
O 0.5057 0.4943 0.1200  1 Zn 1.90
O 0.6341 0.3659 0.3458  1 Ge 1.86
O 0.7098 0.2902 0.7598  2 Ge 2.01, 1 Zn 2.08
O 0.7364 0.2636 0.0024  2 Ge 2.08
O 0.9188 0.0812 0.3936  1 Ge 1.94, 2 Zn 2.00

The calculation puts the formation energy (no corrections) at -2.158 eV/atom. The total magnetization is 0.0 μB per formula unit.